(1)
First-principles (PBE-GGA) data for a geometry-optimized BeAuBr structure, as listed in Alexandria via LeMat-Bulk.

Results
**Total magnetic moment**: 0.000 μB/f.u.
**Space group**: P3m1
**Raw formation energy**: -0.181 eV per atom

abc: 3.365 3.365 6.214
angles: 90.00 90.00 120.00
Element x y z (fractional)
Be 0.333 0.667 0.336
Au 0.000 0.000 0.102
Br 0.667 0.333 0.562



(2)
First-principles (PBE-GGA) data for a geometry-optimized BeCdAuBr2 structure, as listed in Alexandria via LeMat-Bulk.

Results
**Total magnetic moment**: 0.000 μB/f.u.
**Space group**: P4/mmm
**Raw formation energy**: 0.609 eV per atom

abc: 5.319 5.514 5.319
angles: 90.00 90.00 90.00
Element x y z (fractional)
Be 0.500 0.500 0.500
Au 0.000 0.000 0.000
Br 0.000 0.000 0.500
Br 0.500 0.000 0.000
Cd 0.000 0.500 0.000



(3)
First-principles (PBE-GGA) data for a geometry-optimized Be2HAuBr structure, as listed in Alexandria via LeMat-Bulk.

Results
**Total DFT energy (no corrections)**: -2.697 eV/atom
**Total magnetic moment**: 0.000 μB/f.u.
**Space group**: P4/mmm

abc: 4.592 3.709 4.592
angles: 90.00 90.00 90.00
Element x y z (fractional)
Be 0.000 0.000 0.500
Be 0.500 0.000 0.000
Au 0.000 0.000 0.000
Br 0.500 0.500 0.500
H 0.000 0.500 0.000



(4)
First-principles (PBE-GGA) data for a geometry-optimized BeIn2AuBr structure, as listed in Alexandria via LeMat-Bulk.

Results
**Total magnetic moment**: 0.000 μB/f.u.
**Space group**: P4/mmm
**Raw formation energy**: 0.716 eV per atom

abc: 6.044 4.432 6.044
angles: 90.00 90.00 90.00
Element x y z (fractional)
Be 0.000 0.500 0.000
Au 0.500 0.500 0.500
Br 0.000 0.000 0.000
In 0.000 0.000 0.500
In 0.500 0.000 0.000



(5)
First-principles (PBE-GGA) data for a geometry-optimized LaBe2AuBr structure, as listed in Alexandria via LeMat-Bulk.

Results
**Total magnetic moment**: 0.000 μB/f.u.
**Space group**: P4/mmm
**Raw formation energy**: -0.276 eV per atom

abc: 4.453 5.889 4.453
angles: 90.00 90.00 90.00
Element x y z (fractional)
Be 0.000 0.000 0.500
Be 0.500 0.000 0.000
Au 0.000 0.000 0.000
Br 0.500 0.500 0.500
La 0.000 0.500 0.000



(6)
First-principles (PBE-GGA) data for a geometry-optimized LiBeAu2Br structure, as listed in Alexandria via LeMat-Bulk.

Results
**Total magnetic moment**: 0.000 μB/f.u.
**Space group**: P4/mmm
**Raw formation energy**: -0.110 eV per atom

abc: 4.283 6.966 4.283
angles: 90.00 90.00 90.00
Element x y z (fractional)
Be 0.000 0.000 0.000
Au 0.000 0.000 0.500
Au 0.500 0.000 0.000
Br 0.500 0.500 0.500
Li 0.000 0.500 0.000



(7)
First-principles (PBE-GGA) data for a geometry-optimized MnBeAu2Br structure, as listed in Alexandria via LeMat-Bulk.

Results
**Total magnetic moment**: 4.576 μB/f.u.
**Space group**: P4/mmm
**Raw formation energy**: 1.232 eV per atom

abc: 5.369 3.956 5.369
angles: 90.00 90.00 90.00
Each line ends with the local moment (μB).
Element x y z (fractional)
Be 0.000 0.500 0.000  -0.07
Mn 0.500 0.500 0.500  4.40
Au 0.000 0.000 0.500  0.02
Au 0.500 0.000 0.000  0.00
Br 0.000 0.000 0.000  -0.01



(8)
First-principles (PBE-GGA) data for a geometry-optimized MnBeAu2Br structure, as listed in Alexandria via LeMat-Bulk.

Results
**Total magnetic moment**: 4.238 μB/f.u.
**Space group**: P4/mmm
**Raw formation energy**: 0.373 eV per atom

abc: 4.402 5.158 4.402
angles: 90.00 90.00 90.00
Each line ends with the local moment (μB).
Element x y z (fractional)
Be 0.000 0.000 0.000  -0.07
Mn 0.000 0.500 0.000  4.15
Au 0.000 0.000 0.500  -0.03
Au 0.500 0.000 0.000  -0.04
Br 0.500 0.500 0.500  0.01



(9)
First-principles (PBE-GGA) data for a geometry-optimized BeNbAuBr2 structure, as listed in Alexandria via LeMat-Bulk.

Results
**Total magnetic moment**: 2.130 μB/f.u.
**Space group**: P4/mmm
**Raw formation energy**: 0.709 eV per atom

abc: 4.508 5.216 4.508
angles: 90.00 90.00 90.00
Each line ends with the local moment (μB).
Element x y z (fractional)
Be 0.000 0.000 0.000  -0.01
Nb 0.000 0.500 0.000  1.71
Au 0.500 0.500 0.500  0.00
Br 0.000 0.000 0.500  -0.01
Br 0.500 0.000 0.000  -0.03



(10)
First-principles (PBE-GGA) data for a geometry-optimized Be2OsAuBr structure, as listed in Alexandria via LeMat-Bulk.

Results
**Total magnetic moment**: 0.000 μB/f.u.
**Space group**: P4/mmm
**Raw formation energy**: 1.643 eV per atom

abc: 4.189 4.722 4.189
angles: 90.00 90.00 90.00
Element x y z (fractional)
Os 0.000 0.500 0.000
Au 0.500 0.500 0.500
Br 0.000 0.000 0.000
Be 0.000 0.000 0.500
Be 0.500 0.000 0.000



(11)
First-principles (PBE-GGA) data for a geometry-optimized Be2PAuBr structure, as listed in Alexandria via LeMat-Bulk.

Results
**Total magnetic moment**: 0.000 μB/f.u.
**Space group**: P4/mmm
**Raw formation energy**: 1.371 eV per atom

abc: 4.233 5.110 4.233
angles: 90.00 90.00 90.00
Element x y z (fractional)
P 0.000 0.500 0.000
Au 0.500 0.500 0.500
Br 0.000 0.000 0.000
Be 0.000 0.000 0.500
Be 0.500 0.000 0.000



(12)
First-principles (PBE-GGA) data for a geometry-optimized BeReAu2Br structure, as listed in Alexandria via LeMat-Bulk.

Results
**Total magnetic moment**: 0.000 μB/f.u.
**Space group**: P4/mmm
**Raw formation energy**: 1.314 eV per atom

abc: 5.034 4.602 5.034
angles: 90.00 90.00 90.00
Element x y z (fractional)
Re 0.000 0.000 0.000
Au 0.000 0.000 0.500
Au 0.500 0.000 0.000
Br 0.500 0.500 0.500
Be 0.000 0.500 0.000